Ba2NiPdW | the Alexandria database | PBE | optimized geometry; VASP energy = -4.43 eV/atom; spin magnetization = 5.211 μB/f.u.; formation energy from the elements = 1.13 eV/atom; density of states at the Fermi level = 3.50 states/eV per cell; density = 6.04 g/cm³
1.0
-2.8523 -5.1003 1.5147
3.8158 -1.4390 2.3400
-2.0748 2.6488 5.0122
Ni Pd Ba W
1 1 2 1
Cartesian
1.9079 -0.7195 1.1700
0.0000 0.0000 0.0000
-1.0374 1.3244 2.5061
-1.4261 -2.5502 0.7573
-0.5557 -1.9453 4.4334